[1]
Here is an optimized crystal structure of ReCl2O from Alexandria. Energies are from PBE.

Calculated values
For the total energy, the calculation gives -18.05 eV per formula unit. The calculation puts the volume at 74.8 Å³/f.u. The value obtained for the uncorrected formation energy is 0.76 eV/atom. The symmetry is R-3m (166).

abc: 2.9559 2.9559 29.6408
angles: 90.00 90.00 120.00
Positions (direct):
Re1 0.0000 0.0000 0.0000
Re2 0.3333 0.6667 0.6667
Re3 0.6667 0.3333 0.3333
Cl1 0.0000 0.0000 0.0748
Cl2 0.0000 0.0000 0.9252
Cl3 0.3333 0.6667 0.5919
Cl4 0.3333 0.6667 0.7415
Cl5 0.6667 0.3333 0.2585
Cl6 0.6667 0.3333 0.4081
O1 0.0000 0.0000 0.5000
O2 0.3333 0.6667 0.1667
O3 0.6667 0.3333 0.8333

[2]
Here is an optimized crystal structure of ReS2ClO from Alexandria. Energies are from PBE.

Calculated values
For the total energy, the calculation gives -21.15 eV per formula unit. The calculation puts the volume at 83.9 Å³/f.u. The value obtained for the uncorrected formation energy is 1.27 eV/atom. The symmetry is P4/mmm (123).

abc: 3.8889 3.8889 5.5455
angles: 90.00 90.00 90.00
Positions (direct):
Re1 0.0000 0.0000 0.0000
S1 0.0000 0.5000 0.5000
S2 0.5000 0.0000 0.5000
Cl1 0.5000 0.5000 0.0000
O1 0.5000 0.5000 0.5000